MgGeRu2: optimized geometry, GGA-PBEsol.

Energy of formation from the pure elements = -56 kJ/mol of formula units
Magnetic moment = 0.00 μB/cell

Cell: 6.030 6.030 6.030 Å, 90.00 90.00 90.00°
Space group Fm-3m (No. 225)
Inequivalent atoms, fractional coordinates:
Mg1 0.000 0.000 0.000 x4
Ge1 0.000 0.000 0.500 x4
Ru1 0.250 0.250 0.250 x8

Mg3GeS: optimized geometry, GGA-PBEsol.

Magnetic moment = 0.00 μB/cell
Formation energy (no corrections) = -23.6 kJ per mole of atoms

Cell: 4.724 4.724 4.724 Å, 90.00 90.00 90.00°
Space group Pm-3m (No. 221)
Inequivalent atoms, fractional coordinates:
Mg1 0.000 0.000 0.500 x3
Ge1 0.500 0.500 0.500 x1
S1 0.000 0.000 0.000 x1

MgGe3S: optimized geometry, GGA-PBEsol.

Magnetic moment = 0.00 μB/cell
Formation energy (no corrections) = 83.5 kJ per mole of atoms

Cell: 4.918 4.918 4.918 Å, 90.00 90.00 90.00°
Space group Pm-3m (No. 221)
Inequivalent atoms, fractional coordinates:
Mg1 0.000 0.000 0.000 x1
Ge1 0.000 0.000 0.500 x3
S1 0.500 0.500 0.500 x1

Mg2GeS4: optimized geometry, GGA-PBEsol.

Magnetic moment = 0.00 μB/cell
Formation energy (no corrections) = -98.0 kJ per mole of atoms

Cell: 12.754 7.423 6.002 Å, 90.00 90.00 90.00°
Space group Pnma (No. 62)
Inequivalent atoms, fractional coordinates:
Mg1 0.000 0.000 0.000 x4
Mg2 0.231 0.250 0.495 x4
Ge1 0.089 0.750 0.413 x4
S1 0.069 0.250 0.745 x4
S2 0.093 0.750 0.778 x4
S3 0.168 0.517 0.247 x8

MgTcGe2S: optimized geometry, GGA-PBEsol.

Magnetic moment = 0.00 μB/cell
Formation energy (no corrections) = 37.6 kJ per mole of atoms

Cell: 4.633 4.633 5.141 Å, 90.00 90.00 90.00°
Space group P4/mmm (No. 123)
Inequivalent atoms, fractional coordinates:
Mg1 0.000 0.000 0.000 x1
Tc1 0.000 0.000 0.500 x1
Ge1 0.000 0.500 0.500 x2
S1 0.500 0.500 0.000 x1

Y6MgGe2S14: optimized geometry, GGA-PBEsol.

Magnetic moment = 0.00 μB/cell
Formation energy (no corrections) = -158.4 kJ per mole of atoms

Cell: 9.7711 9.7711 5.6419 Å, 90.00 90.00 120.00°
Space group P3 (No. 143)
Inequivalent atoms, fractional coordinates:
Y1 0.0251 0.4645 0.0000 x3
Y2 0.3094 0.2020 0.5062 x3
Mg1 0.6667 0.3333 0.2282 x1
Ge1 0.0000 0.0000 0.0886 x1
Ge2 0.3333 0.6667 0.5800 x1
S1 0.0000 0.0000 0.7023 x1
S2 0.0868 0.2372 0.2503 x3
S3 0.1829 0.7531 0.7442 x3
S4 0.3333 0.6667 0.1948 x1
S5 0.4131 0.2396 0.9841 x3
S6 0.5091 0.0797 0.4683 x3

MgSiGeSb2: optimized geometry, GGA-PBEsol.

Magnetic moment = 0.00 μB/cell
Formation energy (no corrections) = 89.5 kJ per mole of atoms

Cell: 5.285 5.285 4.817 Å, 90.00 90.00 90.00°
Space group P4/mmm (No. 123)
Inequivalent atoms, fractional coordinates:
Mg1 0.000 0.000 0.000 x1
Si1 0.500 0.500 0.500 x1
Ge1 0.000 0.000 0.500 x1
Sb1 0.000 0.500 0.000 x2

MgTiGeSe2: optimized geometry, GGA-PBEsol.

Magnetic moment = 2.19 μB/cell
Formation energy (no corrections) = 65.0 kJ per mole of atoms

Cell: 4.810 4.810 5.156 Å, 90.00 90.00 90.00°
Space group P4/mmm (No. 123)
Inequivalent atoms, fractional coordinates:
Mg1 0.000 0.000 0.000 x1
Ti1 0.000 0.000 0.500 x1
Ge1 0.500 0.500 0.500 x1
Se1 0.000 0.500 0.000 x2